[1]
# Te2RhW, PBEsol geometry, DFT meta-GGA SCAN
# ρ (g/cm3): 11.2
# E above lowest polymorph (meV/atom): 412
# Magnetization (μB per atom): 0.00
# Volume (A^3/atom): 20.2
# Total energy (eV/atom): -43.73
# E_form (uncorrected) (meV/atom): 763
data_Te2RhW
_chemical_formula_sum 'Te4 Rh2 W2'
_cell_length_a 6.410
_cell_length_b 8.764
_cell_length_c 2.872
_cell_angle_alpha 90.00
_cell_angle_beta 90.00
_cell_angle_gamma 90.00
_space_group_name_H-M_alt 'C m m m'
_space_group_IT_number 65
_space_group_name_Hall '-C 2 2'
loop_
_atom_site_label
_atom_site_type_symbol
_atom_site_fract_x
_atom_site_fract_y
_atom_site_fract_z
Te1 Te 0.250 0.250 0.000
Rh1 Rh 0.000 0.000 0.000
W1 W 0.000 0.500 0.000

---

[2]
# Zn2NiMo, PBEsol geometry, DFT meta-GGA SCAN
# Energy relative to the elements (kJ/mol of formula units): 69
# ρ (g/cm3): 9.0
# E above lowest polymorph (meV/atom): 204
# Magnetization (μB per atom): 0.00
# Volume (A^3/atom): 13.2
# Total energy (eV/atom): -19.34
data_Zn2NiMo
_chemical_formula_sum 'Zn2 Ni1 Mo1'
_cell_length_a 4.444
_cell_length_b 4.444
_cell_length_c 2.675
_cell_angle_alpha 90.00
_cell_angle_beta 90.00
_cell_angle_gamma 90.00
_space_group_name_H-M_alt 'P 4/m m m'
_space_group_IT_number 123
_space_group_name_Hall '-P 4 2'
loop_
_atom_site_label
_atom_site_type_symbol
_atom_site_fract_x
_atom_site_fract_y
_atom_site_fract_z
Zn1 Zn 0.000 0.500 0.000
Ni1 Ni 0.000 0.000 0.500
Mo1 Mo 0.500 0.500 0.500

---

[3]
# CsPb2Br5, PBEsol geometry, DFT meta-GGA SCAN
# ρ (g/cm3): 5.9
# Magnetization (μB per atom): 0.00
# Volume (A^3/atom): 33.1
# Total energy (eV/atom): -37.08
# E_form (uncorrected) (meV/atom): -1247
data_CsPb2Br5
_chemical_formula_sum 'Cs4 Pb8 Br20'
_cell_length_a 8.366
_cell_length_b 8.366
_cell_length_c 15.115
_cell_angle_alpha 90.00
_cell_angle_beta 90.00
_cell_angle_gamma 90.00
_space_group_name_H-M_alt 'I 4/m c m'
_space_group_IT_number 140
_space_group_name_Hall '-I 4 2c'
loop_
_atom_site_label
_atom_site_type_symbol
_atom_site_fract_x
_atom_site_fract_y
_atom_site_fract_z
Cs1 Cs 0.000 0.000 0.250
Pb1 Pb 0.163 0.337 0.000
Br1 Br 0.000 0.000 0.000
Br2 Br 0.152 0.348 0.372